Hf2Tl: optimized geometry, GGA-PBEsol.

Cell: 3.489 3.489 5.860 Å, 107.32 107.32 90.00°
Sites, in units of the cell vectors:
Tl 0.500 0.500 0.000
Hf 0.167 0.167 0.333
Hf 0.833 0.833 0.667

Calculated values
**Final energy**: -23.77 eV per cell
**DFT formation energy**: -0.043 eV/atom


Hf3Tl: optimized geometry, GGA-PBEsol.

Cell: 4.267 4.267 5.541 Å, 112.65 112.65 90.00°
Sites, in units of the cell vectors:
Tl 0.000 0.000 0.000
Hf 0.750 0.250 0.500
Hf 0.500 0.500 0.000
Hf 0.250 0.750 0.500

Calculated values
**Final energy**: -34.33 eV per cell
**DFT formation energy**: -0.048 eV/atom